DFT (PBE) results for a geometry-optimized Tm5SbPt2 structure.

a = 7.6301 Å, b = 7.6301 Å, c = 13.5733 Å
α = 90.00°, β = 90.00°, γ = 90.00°
With the nearest neighbours (Å) after each atom.
Space group I4/mcm (No. 140)
One atom of each set of equivalent atoms:
Tm 0.0000 0.0000 0.0000 (multiplicity 4)  4 Pt 2.95
Tm 0.1569 0.3431 0.1395 (multiplicity 16)  3 Pt 2.90-2.95, 2 Sb 3.25
Sb 0.0000 0.0000 0.2500 (multiplicity 4)  10 Tm 3.25-3.39
Pt 0.1392 0.3608 0.5000 (multiplicity 8)  8 Tm 2.90-2.95, 1 Pt 3.00

Values from the calculation:
density of states at the Fermi level: 6.0 states/eV/f.u.
density: 11403 kg/m3
crystal system: tetragonal
E_form (uncorrected): -1.0238 eV/atom
total magnetization: 0.00 μB per cell